# Rb3Se5Br12

A relaxed Rb3Se5Br12 crystal (PBE, Alexandria).

Calculated values
- E_form (uncorrected): -0.391 eV per atom
- Space-group type: No. 230
- Theoretical density: 3143 kg/m3
- N(E_F): 0.24 states/eV per atom

abc: 16.4118 16.4118 16.4118
angles: 109.47 109.47 109.47
Last column: nearest neighbours and their distance in Å.
Sites, in units of the cell vectors:
Rb1 0.1250 0.2500 0.3750  4 Br 3.82
Rb2 0.1250 0.3750 0.7500  4 Br 3.82
Rb3 0.2500 0.3750 0.1250  4 Br 3.82
Rb4 0.2500 0.8750 0.6250  4 Br 3.82
Rb5 0.3750 0.1250 0.2500  4 Br 3.82
Rb6 0.3750 0.7500 0.1250  4 Br 3.82
Rb7 0.6250 0.2500 0.8750  4 Br 3.82
Rb8 0.6250 0.8750 0.7500  4 Br 3.82
Rb9 0.7500 0.1250 0.3750  4 Br 3.82
Rb10 0.7500 0.6250 0.8750  4 Br 3.82
Rb11 0.8750 0.6250 0.2500  4 Br 3.82
Rb12 0.8750 0.7500 0.6250  4 Br 3.82
Se1 0.0000 0.0000 0.0000  6 Br 2.82
Se2 0.0000 0.0000 0.5000  6 Br 2.82
Se3 0.0000 0.5000 0.0000  6 Br 2.82
Se4 0.0000 0.5000 0.5000  6 Br 2.82
Se5 0.1250 0.7500 0.8750  4 Br 2.66
Se6 0.1250 0.8750 0.2500  4 Br 2.66
Se7 0.2500 0.1250 0.8750  4 Br 2.66
Se8 0.2500 0.6250 0.3750  4 Br 2.66
Se9 0.3750 0.2500 0.6250  4 Br 2.66
Se10 0.3750 0.6250 0.7500  4 Br 2.66
Se11 0.5000 0.0000 0.0000  6 Br 2.82
Se12 0.5000 0.0000 0.5000  6 Br 2.82
Se13 0.5000 0.5000 0.0000  6 Br 2.82
Se14 0.5000 0.5000 0.5000  6 Br 2.82
Se15 0.6250 0.3750 0.2500  4 Br 2.66
Se16 0.6250 0.7500 0.3750  4 Br 2.66
Se17 0.7500 0.3750 0.6250  4 Br 2.66
Se18 0.7500 0.8750 0.1250  4 Br 2.66
Se19 0.8750 0.1250 0.7500  4 Br 2.66
Se20 0.8750 0.2500 0.1250  4 Br 2.66
Br1 0.0152 0.6820 0.1132  2 Se 2.66-2.82
Br2 0.0152 0.8331 0.9020  2 Se 2.66-2.82
Br3 0.0688 0.6669 0.6820  2 Se 2.66-2.82
Br4 0.0688 0.9020 0.3868  2 Se 2.66-2.82
Br5 0.0980 0.6132 0.9312  2 Se 2.66-2.82
Br6 0.0980 0.9848 0.1669  2 Se 2.66-2.82
Br7 0.1132 0.0152 0.6820  2 Se 2.66-2.82
Br8 0.1132 0.5980 0.4312  2 Se 2.66-2.82
Br9 0.1669 0.0980 0.9848  2 Se 2.66-2.82
Br10 0.1669 0.5688 0.1820  2 Se 2.66-2.82
Br11 0.1820 0.1669 0.5688  2 Se 2.66-2.82
Br12 0.1820 0.5152 0.6132  2 Se 2.66-2.82
Br13 0.3180 0.8868 0.9848  2 Se 2.66-2.82
Br14 0.3180 0.9312 0.3331  2 Se 2.66-2.82
Br15 0.3331 0.3180 0.9312  2 Se 2.66-2.82
Br16 0.3331 0.5152 0.4020  2 Se 2.66-2.82
Br17 0.3868 0.0688 0.9020  2 Se 2.66-2.82
Br18 0.3868 0.8180 0.4848  2 Se 2.66-2.82
Br19 0.4020 0.3331 0.5152  2 Se 2.66-2.82
Br20 0.4020 0.5688 0.8868  2 Se 2.66-2.82
Br21 0.4312 0.1132 0.5980  2 Se 2.66-2.82
Br22 0.4312 0.8180 0.8331  2 Se 2.66-2.82
Br23 0.4848 0.3868 0.8180  2 Se 2.66-2.82
Br24 0.4848 0.5980 0.6669  2 Se 2.66-2.82
Br25 0.5152 0.4020 0.3331  2 Se 2.66-2.82
Br26 0.5152 0.6132 0.1820  2 Se 2.66-2.82
Br27 0.5688 0.1820 0.1669  2 Se 2.66-2.82
Br28 0.5688 0.8868 0.4020  2 Se 2.66-2.82
Br29 0.5980 0.4312 0.1132  2 Se 2.66-2.82
Br30 0.5980 0.6669 0.4848  2 Se 2.66-2.82
Br31 0.6132 0.1820 0.5152  2 Se 2.66-2.82
Br32 0.6132 0.9312 0.0980  2 Se 2.66-2.82
Br33 0.6669 0.4848 0.5980  2 Se 2.66-2.82
Br34 0.6669 0.6820 0.0688  2 Se 2.66-2.82
Br35 0.6820 0.0688 0.6669  2 Se 2.66-2.82
Br36 0.6820 0.1132 0.0152  2 Se 2.66-2.82
Br37 0.8180 0.4848 0.3868  2 Se 2.66-2.82
Br38 0.8180 0.8331 0.4312  2 Se 2.66-2.82
Br39 0.8331 0.4312 0.8180  2 Se 2.66-2.82
Br40 0.8331 0.9020 0.0152  2 Se 2.66-2.82
Br41 0.8868 0.4020 0.5688  2 Se 2.66-2.82
Br42 0.8868 0.9848 0.3180  2 Se 2.66-2.82
Br43 0.9020 0.0152 0.8331  2 Se 2.66-2.82
Br44 0.9020 0.3868 0.0688  2 Se 2.66-2.82
Br45 0.9312 0.0980 0.6132  2 Se 2.66-2.82
Br46 0.9312 0.3331 0.3180  2 Se 2.66-2.82
Br47 0.9848 0.1669 0.0980  2 Se 2.66-2.82
Br48 0.9848 0.3180 0.8868  2 Se 2.66-2.82